The following is a DFT calculation (GGA-PBE) of an optimized crystal structure of NaSn2Pb2.

Values from the calculation:
The value obtained for the total energy is -16.39 eV per formula unit. Its calculated formation energy is 0.070 eV per atom. As for the space group: C2/c, No. 15. As for the density of states at the Fermi level: 2.15 states/eV/f.u.

```
10
Lattice="5.135 -5.702 0.000 5.135 5.702 0.000 -4.066 0.000 5.729" Properties=species:S:1:pos:R:3 pbc="T T T"
Na 2.086 3.929 4.297
Na 4.119 -3.929 1.432
Sn 4.119 4.322 1.432
Sn 2.086 0.581 4.297
Sn 4.119 -0.581 1.432
Sn 2.086 -4.322 4.297
Pb 2.287 1.846 1.461
Pb 0.254 -1.846 4.325
Pb 5.951 1.846 1.404
Pb 3.918 -1.846 4.268
```